A geometry-optimized Mg2VPtO6 structure. Source: Alexandria, functional PBE+U.

* uncorrected energy: -6.14 eV/atom
* crystal system: tetragonal
* size of the total moment: 1.328 μB per cell
* D(E_F): 0.261 states/eV/atom

Lattice parameters (Å, degrees): 4.2031 5.5211 5.5211 90.00 90.00 90.00
Last column: nearest neighbours and their distance in Å.
Sites, in units of the cell vectors:
O (0.7403, 0.7573, 0.2427)  1 V 1.99, 1 Pt 2.02, 2 Mg 2.07
O (0.1915, 0.5000, 0.5000)  2 Pt 2.07-2.13
O (0.7403, 0.7573, 0.7573)  1 V 1.99, 1 Pt 2.02, 2 Mg 2.07
O (0.7403, 0.2427, 0.2427)  1 V 1.99, 1 Pt 2.02, 2 Mg 2.07
O (0.2008, 0.0000, 0.0000)  1 V 1.66
O (0.7403, 0.2427, 0.7573)  1 V 1.99, 1 Pt 2.02, 2 Mg 2.07
V (0.5968, 0.0000, 0.0000)  1 O 1.66
Mg (0.9061, 0.5000, 0.0000)  4 O 2.07
Mg (0.9061, 0.0000, 0.5000)  4 O 2.07
Pt (0.6845, 0.5000, 0.5000)  6 O 2.02-2.13